Material: Li7Mn2Co3O12
Method: DFT, PBE with a Hubbard U
State: relaxed

E_tot = -5.87 eV per atom
Space-group type = P1
ΔE to the lowest computed polymorph = 29.0 meV per atom

a b c (Å): 5.125 5.820 7.750
angles (deg): 100.94 96.16 106.43
Site moments in Bohr magnetons follow the coordinates.
Positions (direct):
Co 0.994 0.328 0.345  3.06
O 0.222 0.287 0.929  -0.06
Li 0.509 0.757 0.502  0.01
Li 0.492 0.914 0.172  0.01
O 0.225 0.116 0.236  0.16
Li 0.503 0.578 0.824  0.01
Li 0.503 0.257 0.507  0.01
O 0.757 0.549 0.418  0.33
Mn 0.996 0.494 0.997  3.18
O 0.762 0.052 0.403  0.35
O 0.235 0.474 0.583  0.35
Li 0.000 0.169 0.668  0.01
O 0.212 0.604 0.238  0.16
Li 0.491 0.417 0.176  0.01
O 0.242 0.953 0.570  0.37
O 0.223 0.783 0.926  0.01
Li 0.508 0.083 0.815  0.01
O 0.776 0.209 0.070  0.00
Co 0.014 0.845 0.352  3.05
Mn 0.002 0.999 0.997  3.19
O 0.784 0.873 0.763  0.12
Co 0.996 0.657 0.660  3.07
O 0.785 0.716 0.082  0.01
O 0.770 0.388 0.766  0.10